CsTlRe3: optimized geometry, GGA-PBE.

Values from the calculation:
Energy relative to the elements in eV/f.u.: 19.75
D(E_F) in states/eV per atom: 1.060
Symmetry: No. 221
M_tot in μB/f.u.: 5.1

```
CsTlRe3
1.0
5.031 0.000 0.000
0.000 5.031 0.000
0.000 0.000 5.031
Cs Re Tl
1 3 1
Direct
0.000 0.000 0.000
0.000 0.500 0.000
0.000 0.000 0.500
0.500 0.000 0.000
0.500 0.500 0.500
```

=====

CsY2TlRe: optimized geometry, GGA-PBE.

Values from the calculation:
Energy relative to the elements in eV/f.u.: 11.72
D(E_F) in states/eV per atom: 1.243
Symmetry: No. 123
M_tot in μB/f.u.: 3.5

```
CsY2TlRe
1.0
5.581 0.000 0.000
0.000 5.788 0.000
0.000 0.000 5.581
Cs Re Tl Y
1 1 1 2
Direct
0.000 0.000 0.000
0.500 0.500 0.500
0.000 0.500 0.000
0.000 0.000 0.500
0.500 0.000 0.000
```

=====

CsTl2ZnRe: optimized geometry, GGA-PBE.

Values from the calculation:
Energy relative to the elements in eV/f.u.: 5.35
D(E_F) in states/eV per atom: 0.747
Symmetry: No. 123
M_tot in μB/f.u.: 2.9

```
CsTl2ZnRe
1.0
-4.291 2.936 1.979
-2.469 -4.710 1.634
2.360 0.355 4.589
Cs Re Tl Zn
1 1 2 1
Direct
0.500 0.500 0.500
0.000 0.000 0.500
0.000 0.500 0.000
0.500 0.000 0.000
0.000 0.000 0.000
```

=====

CsTl2ZnRe: optimized geometry, GGA-PBE.

Values from the calculation:
Energy relative to the elements in eV/f.u.: 4.57
D(E_F) in states/eV per atom: 1.040
Symmetry: No. 123
M_tot in μB/f.u.: 0.0

```
CsTl2ZnRe
1.0
-4.056 3.128 -1.682
-1.914 -4.076 -2.965
-3.373 -1.842 4.710
Cs Re Tl Zn
1 1 2 1
Direct
0.000 0.000 0.500
0.000 0.000 0.000
0.000 0.500 0.000
0.500 0.000 0.000
0.500 0.500 0.500
```

=====

CsVRe3: optimized geometry, GGA-PBE.

Values from the calculation:
Energy relative to the elements in eV/f.u.: 20.37
D(E_F) in states/eV per atom: 1.712
Symmetry: No. 221
M_tot in μB/f.u.: 1.3

```
CsVRe3
1.0
-3.648 -2.724 -1.685
2.033 0.004 -4.408
2.475 -4.018 1.138
Cs Re V
1 3 1
Direct
0.000 0.000 0.000
0.000 0.500 0.000
0.000 0.000 0.500
0.500 0.000 0.000
0.500 0.500 0.500
```

=====

Cs2VRe: optimized geometry, GGA-PBE.

Values from the calculation:
Energy relative to the elements in eV/f.u.: 11.39
D(E_F) in states/eV per atom: 1.773
Symmetry: No. 225
M_tot in μB/f.u.: 0.0

```
Cs2VRe
1.0
4.370 -2.419 1.523
0.665 -1.274 5.020
-0.164 -5.009 1.466
Cs Re V
2 1 1
Direct
0.250 0.250 0.250
0.750 0.750 0.750
0.500 0.500 0.500
0.000 0.000 0.000
```

=====

Cs2VRe: optimized geometry, GGA-PBE.

Values from the calculation:
Energy relative to the elements in eV/f.u.: 6.37
D(E_F) in states/eV per atom: 1.780
Symmetry: No. 122
M_tot in μB/f.u.: 0.6

```
Cs2VRe
1.0
-13.685 -2.443 0.096
1.043 -6.329 -12.334
-5.973 -6.296 -5.110
Cs Re V
4 2 2
Direct
0.434 0.125 0.250
0.316 0.625 0.250
0.375 0.566 0.750
0.875 0.684 0.750
0.000 0.000 0.000
0.750 0.250 0.500
0.500 0.500 0.000
0.250 0.750 0.500
```

=====

CsVRe3: optimized geometry, GGA-PBE.

Values from the calculation:
Energy relative to the elements in eV/f.u.: 10.97
D(E_F) in states/eV per atom: 0.798
Symmetry: No. 221
M_tot in μB/f.u.: 3.8

```
CsVRe3
1.0
4.774 0.000 0.000
0.000 4.774 0.000
0.000 0.000 4.774
Cs Re V
1 3 1
Direct
0.500 0.500 0.500
0.000 0.500 0.000
0.000 0.000 0.500
0.500 0.000 0.000
0.000 0.000 0.000
```

=====

The lowest D(E_F) belongs to which entry?
number 3

=====

The highest energy relative to the elements belongs to which entry?
number 5

=====

Look up the M_tot of the second one.
3.5 μB/f.u.

=====

Which of these has the highest D(E_F)?
number 7